# 1
The following is a PBE calculation of a relaxed YVSe2N crystal, from Alexandria.

Lattice parameters (Å, degrees): 5.4920 5.4920 4.2990 90.00 90.00 90.00
With the nearest neighbours (Å) after each atom.
Fractional positions:
Y 0.0000 0.0000 0.0000  2 N 2.15
N 0.0000 0.0000 0.5000  2 Y 2.15
Se 0.0000 0.5000 0.0000  2 Y 2.75
Se 0.5000 0.0000 0.0000  2 Y 2.75
V 0.5000 0.5000 0.5000  8 Se 3.49, 4 N 3.88

Output
Total magnetic moment = 4.70 μB per formula unit
Total energy = -5.797 eV per atom

# 2
The following is a PBE calculation of a relaxed YVSeN2 crystal, from Alexandria.

Lattice parameters (Å, degrees): 4.2361 4.2361 5.6492 90.00 90.00 90.00
With the nearest neighbours (Å) after each atom.
Fractional positions:
Y 0.0000 0.0000 0.0000  4 N 2.12
N 0.0000 0.5000 0.0000  2 Y 2.12
N 0.5000 0.0000 0.0000  2 Y 2.12
Se 0.0000 0.0000 0.5000  2 Y 2.82, 4 V 3.00
V 0.5000 0.5000 0.5000  4 Se 3.00

Output
Total magnetic moment = 0.40 μB per formula unit
Total energy = -6.057 eV per atom

# 3
The following is a PBE calculation of a relaxed YVSeN2 crystal, from Alexandria.

Lattice parameters (Å, degrees): 3.9030 3.9030 4.9374 90.00 90.00 90.00
With the nearest neighbours (Å) after each atom.
Fractional positions:
Y 0.5000 0.5000 0.5000  4 Se 2.76
N 0.0000 0.5000 0.0000  2 V 1.95
N 0.5000 0.0000 0.0000  2 V 1.95
Se 0.0000 0.0000 0.5000  2 V 2.47, 4 Y 2.76
V 0.0000 0.0000 0.0000  4 N 1.95

Output
Total magnetic moment = 0.00 μB per formula unit
Total energy = -7.684 eV per atom

# 4
The following is a PBE calculation of a relaxed VZnSe2N crystal, from Alexandria.

Lattice parameters (Å, degrees): 4.9931 4.9931 3.6250 90.00 90.00 90.00
With the nearest neighbours (Å) after each atom.
Fractional positions:
Zn 0.5000 0.5000 0.5000  8 Se 3.09
N 0.0000 0.0000 0.5000  2 V 1.81
Se 0.0000 0.5000 0.0000  2 V 2.50
Se 0.5000 0.0000 0.0000  2 V 2.50
V 0.0000 0.0000 0.0000  2 N 1.81

Output
Total magnetic moment = 0.00 μB per formula unit
Total energy = -5.092 eV per atom

| no. | density (kg/m³) | D(E_F) (states/eV/atom) | excess energy over the best structure of this formula in the dataset (meV per atom) |
| --- | --- | --- | --- |
| 1 | 3993 | 1.016 | 1183 |
| 2 | 4043 | 2.019 | 1627 |
| 3 | 5449 | 0.376 | 0 |
| 4 | 5297 | 0.782 | 0 |